Here is crystalline Ca2ReHgMo at its relaxed geometry from Alexandria via LeMat-Bulk. Energies are from GGA-PBE.

```
5
Lattice="5.697 0.000 0.000 0.000 5.697 0.000 0.000 0.000 4.655" Properties=species:S:1:pos:R:3 pbc="T T T"
Ca 0.000 2.849 0.000
Ca 2.849 0.000 0.000
Re 0.000 0.000 0.000
Hg 2.849 2.849 2.328
Mo 0.000 0.000 2.328
```

Results
space group	P4/mmm, No. 123
final energy	-4.70	eV/atom
formation energy	0.821	eV per atom